{
  "formula": "AgBF3",
  "functional": "PBE",
  "state": "relaxed",
  "lattice_angstrom": [[-0.080, -0.651, 3.750], [-0.690, -3.686, -0.655], [3.743, -0.694, -0.041]],
  "species": ["F", "F", "F", "Ag", "B"],
  "frac_coords": [[0.000, 0.000, 0.500], [0.000, 0.500, 0.000], [0.500, 0.000, 0.000], [0.500, 0.500, 0.500], [0.000, 0.000, 0.000]],
  "relative_energy_mev_per_atom": 0,
  "m_tot_mub_per_fu": 0.00,
  "spacegroup": "Pm-3m",
  "raw_formation_energy_ev_per_fu": -4.0,
  "n_ef_per_ev_cell": 0.80
}